No. 1
VASP calculation (GGA-PBE) on a geometry-optimized LaDy2RuN4 structure.

* formation energy (no corrections): -1042 meV per atom

```
data_LaDy2RuN4
_chemical_formula_sum 'La4 Dy8 Ru4 N16'
_space_group_name_H-M_alt 'C m c m'
_space_group_IT_number 63
_space_group_name_Hall '-C 2c 2'
_cell_length_a 3.4723
_cell_length_b 11.7688
_cell_length_c 11.6501
_cell_angle_alpha 90.00
_cell_angle_beta 90.00
_cell_angle_gamma 90.00
loop_
_atom_site_label
_atom_site_fract_x
_atom_site_fract_y
_atom_site_fract_z
La1 0.0000 0.1137 0.2500
Dy1 0.0000 0.3689 0.0428
Ru1 0.0000 0.1485 0.7500
N1 0.0000 0.0000 0.0000
N2 0.0000 0.2664 0.6256
N3 0.0000 0.4361 0.2500
```

No. 2
VASP calculation (GGA-PBE) on a geometry-optimized Tc5W structure.

* total energy: -128.0 eV for the cell shown

```
data_Tc5W
_chemical_formula_sum 'Tc10 W2'
_space_group_name_H-M_alt 'C m m m'
_space_group_IT_number 65
_space_group_name_Hall '-C 2 2'
_cell_length_a 4.3799
_cell_length_b 13.4964
_cell_length_c 3.0513
_cell_angle_alpha 90.00
_cell_angle_beta 90.00
_cell_angle_gamma 90.00
loop_
_atom_site_label
_atom_site_fract_x
_atom_site_fract_y
_atom_site_fract_z
Tc1 0.0000 0.0000 0.0000
Tc2 0.0000 0.1805 0.5000
Tc3 0.0000 0.3458 0.0000
W1 0.0000 0.5000 0.5000
```

No. 3
VASP calculation (GGA-PBE) on a geometry-optimized NaPt3 structure.

* total energy: -19.5 eV for the cell shown

```
data_NaPt3
_chemical_formula_sum 'Na1 Pt3'
_space_group_name_H-M_alt 'P m m m'
_space_group_IT_number 47
_cell_length_a 2.7198
_cell_length_b 4.2714
_cell_length_c 5.6199
_cell_angle_alpha 90.00
_cell_angle_beta 90.00
_cell_angle_gamma 90.00
loop_
_space_group_symop_operation_xyz
'x,y,z'
'-x,-y,-z'
'-x,-y,z'
'x,y,-z'
'x,-y,-z'
'-x,y,z'
'-x,y,-z'
'x,-y,z'
loop_
_atom_site_label
_atom_site_fract_x
_atom_site_fract_y
_atom_site_fract_z
Na1 0.0000 0.0000 0.0000
Pt1 0.0000 0.0000 0.5000
Pt2 0.5000 0.5000 0.2608
```

No. 4
VASP calculation (GGA-PBE) on a geometry-optimized CsNiHg3 structure.

* total energy: -8.1 eV for the cell shown

```
data_CsNiHg3
_chemical_formula_sum 'Cs1 Ni1 Hg3'
_space_group_name_H-M_alt 'P m -3 m'
_space_group_IT_number 221
_space_group_name_Hall '-P 4 2 3'
_cell_length_a 5.3023
_cell_length_b 5.3023
_cell_length_c 5.3023
_cell_angle_alpha 90.00
_cell_angle_beta 90.00
_cell_angle_gamma 90.00
loop_
_atom_site_label
_atom_site_fract_x
_atom_site_fract_y
_atom_site_fract_z
Cs1 0.0000 0.0000 0.0000
Ni1 0.5000 0.5000 0.5000
Hg1 0.0000 0.5000 0.5000
```

No. 5
VASP calculation (GGA-PBE) on a geometry-optimized Re2TcBr structure.

* formation energy (no corrections): 946 meV per atom

```
data_Re2TcBr
_chemical_formula_sum 'Re4 Tc2 Br2'
_space_group_name_H-M_alt 'I m m 2'
_space_group_IT_number 44
_cell_length_a 2.9604
_cell_length_b 4.5154
_cell_length_c 9.1312
_cell_angle_alpha 90.00
_cell_angle_beta 90.00
_cell_angle_gamma 90.00
loop_
_space_group_symop_operation_xyz
'x,y,z'
'-x,-y,z'
'-x,y,z'
'x,-y,z'
'x+1/2,y+1/2,z+1/2'
'-x+1/2,-y+1/2,z+1/2'
'-x+1/2,y+1/2,z+1/2'
'x+1/2,-y+1/2,z+1/2'
loop_
_atom_site_label
_atom_site_fract_x
_atom_site_fract_y
_atom_site_fract_z
Re1 0.0000 0.0000 0.0000
Re2 0.0000 0.5000 0.2394
Tc1 0.0000 0.5000 0.7715
Br1 0.0000 0.0000 0.5022
```

No. 6
VASP calculation (GGA-PBE) on a geometry-optimized CaSc2As structure.

* total energy: -41.3 eV for the cell shown

```
data_CaSc2As
_chemical_formula_sum 'Ca2 Sc4 As2'
_space_group_name_H-M_alt 'I -4 m 2'
_space_group_IT_number 119
_space_group_name_Hall 'I -4 -2'
_cell_length_a 4.2680
_cell_length_b 4.2680
_cell_length_c 10.0517
_cell_angle_alpha 90.00
_cell_angle_beta 90.00
_cell_angle_gamma 90.00
loop_
_atom_site_label
_atom_site_fract_x
_atom_site_fract_y
_atom_site_fract_z
Ca1 0.0000 0.0000 0.0000
Sc1 0.0000 0.0000 0.5000
Sc2 0.0000 0.5000 0.7500
As1 0.0000 0.5000 0.2500
```

No. 7
VASP calculation (GGA-PBE) on a geometry-optimized BaTiSn2 structure.

* total energy: -72.1 eV for the cell shown

```
data_BaTiSn2
_chemical_formula_sum 'Ba4 Ti4 Sn8'
_space_group_name_H-M_alt 'I -4 2 d'
_space_group_IT_number 122
_space_group_name_Hall 'I -4 2bw'
_cell_length_a 5.8476
_cell_length_b 5.8476
_cell_length_c 17.9557
_cell_angle_alpha 90.00
_cell_angle_beta 90.00
_cell_angle_gamma 90.00
loop_
_atom_site_label
_atom_site_fract_x
_atom_site_fract_y
_atom_site_fract_z
Ba1 0.0000 0.0000 0.0000
Ti1 0.0000 0.0000 0.5000
Sn1 0.0743 0.2500 0.6250
```

No. 8
VASP calculation (GGA-PBE) on a geometry-optimized RbMgTe3As structure.

* formation energy (no corrections): -587 meV per atom

```
data_RbMgTe3As
_chemical_formula_sum 'Rb2 Mg2 Te6 As2'
_space_group_name_H-M_alt 'P 1 21/m 1'
_space_group_IT_number 11
_cell_length_a 9.8023
_cell_length_b 4.4031
_cell_length_c 10.8584
_cell_angle_alpha 90.00
_cell_angle_beta 110.44
_cell_angle_gamma 90.00
loop_
_space_group_symop_operation_xyz
'x,y,z'
'-x,-y,-z'
'-x,y+1/2,-z'
'x,-y+1/2,z'
loop_
_atom_site_label
_atom_site_fract_x
_atom_site_fract_y
_atom_site_fract_z
Rb1 0.2163 0.2500 0.2507
Mg1 0.0905 0.2500 0.6166
Te1 0.1331 0.2500 0.8859
Te2 0.2156 0.7500 0.5363
Te3 0.4724 0.7500 0.1435
As1 0.3335 0.7500 0.8836
```